No. 1
A relaxed structure of LiFe2OsS. Source: the Alexandria database, functional PBE-GGA.

## Properties
As for the formation energy from raw total energies: 1.3848 eV/atom. The crystal system is tetragonal. The magnetic moment comes out at 0.000 μB per atom. The space group is P4/mmm, No. 123.

Lattice parameters (Å, degrees): 3.897 3.882 3.897 90.00 90.00 90.00
Sites, in units of the cell vectors:
S (0.000, 0.500, 0.000)
Os (0.500, 0.500, 0.500)
Fe (0.000, 0.000, 0.500)
Fe (0.500, 0.000, 0.000)
Li (0.000, 0.000, 0.000)

No. 2
A relaxed structure of LiFeSn2Os. Source: the Alexandria database, functional PBE-GGA.

## Properties
The crystal system is tetragonal. Its energy above the most stable polymorph in this dataset is 0.00 eV/f.u. The magnetic moment comes out at 0.765 μB per atom. Its energy of formation from the pure elements is 0.586 eV/atom. The space group is P4/mmm, No. 123.

Lattice parameters (Å, degrees): 5.123 4.960 5.123 90.00 90.00 90.00
Each line ends with the local moment (μB).
Sites, in units of the cell vectors:
Li (0.500, 0.500, 0.500)  -0.01
Os (0.000, 0.000, 0.000)  0.28
Sn (0.000, 0.000, 0.500)  0.06
Sn (0.500, 0.000, 0.000)  0.03
Fe (0.000, 0.500, 0.000)  3.23

No. 3
A relaxed structure of LiFeSn2Os. Source: the Alexandria database, functional PBE-GGA.

## Properties
The crystal system is tetragonal. Its energy above the most stable polymorph in this dataset is 2.24 eV/f.u. The magnetic moment comes out at 0.642 μB per atom. Its energy of formation from the pure elements is 1.033 eV/atom. The space group is P4/mmm, No. 123.

Lattice parameters (Å, degrees): 4.809 4.228 4.809 90.00 90.00 90.00
Each line ends with the local moment (μB).
Sites, in units of the cell vectors:
Li (0.000, 0.500, 0.000)  -0.03
Os (0.500, 0.500, 0.500)  1.60
Sn (0.000, 0.000, 0.500)  -0.02
Sn (0.500, 0.000, 0.000)  -0.06
Fe (0.000, 0.000, 0.000)  1.57

Copy entry 1 word for word.
A relaxed structure of LiFe2OsS. Source: the Alexandria database, functional PBE-GGA.

## Properties
As for the formation energy from raw total energies: 1.3848 eV/atom. The crystal system is tetragonal. The magnetic moment comes out at 0.000 μB per atom. The space group is P4/mmm, No. 123.

Lattice parameters (Å, degrees): 3.897 3.882 3.897 90.00 90.00 90.00
Sites, in units of the cell vectors:
S (0.000, 0.500, 0.000)
Os (0.500, 0.500, 0.500)
Fe (0.000, 0.000, 0.500)
Fe (0.500, 0.000, 0.000)
Li (0.000, 0.000, 0.000)

Which formula does entry 2 have? LiFeSn2Os